# 1
PBE-GGA Hf3U5H12, optimized geometry; VASP energy = -6.384 eV per atom; magnetization = 12.79 μB/f.u.
1.0
10.645 0.000 0.000
-3.548 10.036 0.000
-3.548 -5.018 8.692
U H Hf
20 48 12
Cartesian
1.774 2.509 4.346
-0.887 0.627 5.432
5.323 0.000 0.000
0.887 3.136 7.605
0.000 0.000 0.000
-0.887 2.509 2.173
4.436 2.509 6.519
0.887 -2.509 6.519
3.548 -2.509 4.346
-3.548 2.509 4.346
-0.887 8.155 1.086
-1.774 5.018 0.000
-1.774 -2.509 4.346
4.436 -3.136 7.605
-2.661 5.646 3.259
6.210 -0.627 5.432
3.548 5.018 0.000
2.661 1.882 1.086
4.436 4.391 3.259
2.661 7.527 2.173
-3.711 7.564 2.924
1.832 6.121 0.679
-0.058 6.158 0.616
-2.381 5.337 6.654
2.381 0.903 3.051
-1.272 -2.975 6.384
1.832 3.879 0.616
5.264 4.982 1.295
1.716 1.140 8.076
6.594 -3.486 7.270
2.277 4.507 3.730
-3.046 8.504 1.422
6.490 0.585 3.603
3.607 -1.140 8.076
7.599 2.043 2.308
-1.937 2.546 5.768
-4.051 2.975 6.384
3.607 1.103 8.013
-0.058 3.915 0.679
5.485 2.472 2.924
1.612 6.277 3.667
0.607 5.922 5.641
4.820 1.532 1.422
6.935 1.213 0.743
-1.272 3.486 7.270
-2.942 4.433 5.089
-3.607 -0.037 7.397
7.155 5.055 1.295
1.937 -1.259 5.025
-1.716 0.037 7.397
0.162 3.759 3.667
2.942 -0.903 3.051
-1.937 -3.805 7.949
-1.168 -0.585 3.603
-3.386 3.805 7.949
4.155 4.700 6.654
1.272 0.511 4.962
-0.607 0.318 2.038
1.716 -1.103 8.013
-0.502 5.530 3.730
4.051 -0.511 4.962
4.716 5.603 5.089
1.168 4.115 5.641
5.485 8.823 0.743
7.259 -2.546 5.768
4.820 7.993 2.308
3.386 1.259 5.025
5.929 -0.318 2.038
-2.661 -1.882 7.605
0.887 5.018 2.173
2.661 0.000 6.519
-2.661 1.882 7.605
-4.436 5.018 6.519
4.436 0.627 3.259
6.210 3.136 1.086
-0.887 4.391 5.432
0.887 -0.627 3.259
7.984 0.000 2.173
2.661 5.646 5.432
6.210 6.900 1.086

---

# 2
PBE-GGA HfUH2, optimized geometry; VASP energy = -7.141 eV per atom; magnetization = 1.73 μB/f.u.
1.0
3.067 0.000 0.000
1.533 2.656 0.000
1.533 0.885 5.960
Hf H U
1 2 1
Cartesian
3.067 1.771 2.980
4.600 2.656 4.189
1.533 0.885 1.771
0.000 0.000 0.000

---

# 3
PBE-GGA Hf5U3H12, optimized geometry; VASP energy = -6.432 eV per atom; magnetization = 6.83 μB/f.u.
1.0
10.543 0.000 0.000
-3.514 9.940 0.000
-3.514 -4.970 8.609
H Hf U
48 20 12
Cartesian
4.626 7.755 2.413
0.498 6.072 5.691
1.896 -1.498 5.005
1.470 1.205 7.922
4.985 4.962 1.386
1.260 3.869 5.691
0.139 3.472 3.604
-0.498 0.509 1.891
-3.653 7.343 3.099
2.403 4.273 3.618
6.531 0.593 3.799
4.160 -0.697 4.991
6.383 -3.482 7.404
-1.470 0.008 7.222
2.044 3.765 0.686
4.012 4.461 6.717
3.376 1.498 5.005
-1.112 -2.785 6.196
6.890 1.100 0.505
3.801 -1.205 7.922
-1.896 2.372 5.509
-1.896 -3.870 8.104
-0.287 3.773 0.700
-1.112 3.482 7.404
-2.869 8.452 1.205
4.774 5.563 4.809
-1.260 -0.593 3.799
7.675 2.186 2.413
-4.160 2.785 6.196
2.044 6.167 0.700
3.017 -1.102 2.918
-3.801 -0.008 7.222
4.626 1.488 1.205
1.112 0.697 4.991
5.769 -0.509 1.891
-0.646 5.667 3.618
1.470 -1.197 7.909
-3.017 4.378 4.809
5.411 8.840 0.505
-2.255 5.479 6.717
-0.287 6.175 0.686
3.801 1.197 7.909
7.316 4.978 1.386
7.168 -2.372 5.509
1.618 6.468 3.604
2.255 1.102 2.918
5.411 2.598 3.099
-3.376 3.870 8.104
5.272 0.000 0.000
2.636 1.864 1.076
6.150 -0.621 5.380
-1.757 4.970 0.000
0.000 0.000 0.000
-3.514 2.485 4.304
-0.879 8.077 1.076
1.757 2.485 4.304
-2.636 5.591 3.228
0.879 3.106 7.533
3.514 -2.485 4.304
-0.879 0.621 5.380
0.879 -2.485 6.457
4.393 -3.106 7.533
3.514 4.970 0.000
-0.879 2.485 2.152
4.393 2.485 6.457
4.393 4.349 3.228
2.636 7.455 2.152
-1.757 -2.485 4.304
4.393 0.621 3.228
7.908 0.000 2.152
-0.879 4.349 5.380
-2.636 1.864 7.533
0.879 4.970 2.152
2.636 0.000 6.457
-2.636 -1.864 7.533
6.150 3.106 1.076
6.150 6.834 1.076
2.636 5.591 5.380
-4.393 4.970 6.457
0.879 -0.621 3.228

---

# 4
PBE-GGA Hf2UH, optimized geometry; VASP energy = -8.455 eV per atom; magnetization = 1.30 μB/f.u.; energy above the most stable polymorph in this dataset = 0.000 eV per atom
1.0
3.046 0.000 0.000
1.523 2.638 0.000
1.523 0.879 8.576
U Hf H
1 2 1
Cartesian
0.000 0.000 0.000
1.523 0.879 5.625
4.569 2.638 2.951
3.046 1.759 4.288

---

# 5
PBE-GGA HfU2H8, optimized geometry; VASP energy = -5.693 eV per atom; magnetization = 5.29 μB/f.u.
1.0
3.527 0.000 -1.073
-0.677 3.918 -2.225
0.020 0.987 6.397
H U Hf
8 2 1
Cartesian
1.668 3.852 -0.850
0.845 3.120 2.775
2.025 1.785 0.323
3.029 3.983 3.621
2.259 3.660 1.092
-0.159 0.922 -0.523
1.202 1.053 3.949
0.611 1.245 2.007
0.151 2.958 0.497
2.719 1.947 2.601
1.764 0.000 -0.537

---

# 6
PBE-GGA Hf3VH4, optimized geometry; VASP energy = -6.731 eV per atom; magnetization = 2.49 μB/f.u.
1.0
5.317 0.000 0.000
0.000 5.767 0.000
0.000 0.000 6.023
H Hf V
8 6 2
Cartesian
3.270 0.837 3.011
3.511 1.052 0.000
3.318 3.966 1.566
0.853 4.715 3.011
0.660 1.801 4.578
0.611 4.930 0.000
0.660 1.801 1.445
3.318 3.966 4.457
5.283 0.735 3.011
5.304 3.707 4.523
2.625 5.032 0.000
2.646 2.060 4.511
5.304 3.707 1.500
2.646 2.060 1.511
2.674 4.857 3.011
0.015 0.910 0.000

---

# 7
PBE-GGA Hf4V2H, optimized geometry; VASP energy = -8.490 eV per atom; magnetization = 0.00 μB/f.u.
1.0
4.021 0.000 0.000
0.000 4.021 0.000
2.011 2.011 7.580
Hf V H
4 2 1
Cartesian
2.011 2.011 4.724
4.021 4.021 2.856
0.000 2.011 0.000
2.011 0.000 0.000
4.021 4.021 5.603
2.011 2.011 1.977
0.000 0.000 0.000

---

# 8
PBE-GGA HfVH2, optimized geometry; VASP energy = -6.577 eV per atom; magnetization = 0.00 μB/f.u.; energy above the most stable polymorph in this dataset = 0.126 eV per atom
1.0
-0.302 -2.886 -0.988
1.285 -2.299 1.568
-3.630 -2.192 2.758
H V Hf
2 1 1
Cartesian
-0.464 -1.821 0.707
-2.182 -5.556 2.631
0.000 0.000 0.000
-1.323 -3.688 1.669